## NpIn2Cl4F2 (PBE-GGA)

Data for a geometry-optimized NpIn2Cl4F2 structure.

Unit cell a=5.735 b=7.221 c=7.221 alpha=63.73 beta=80.74 gamma=80.74
Atoms (fractional coordinates):
In (0.203, 0.710, 0.710)
In (0.797, 0.290, 0.290)
Np (0.500, 0.000, 0.000)
F (0.205, 0.130, 0.130)
F (0.795, 0.870, 0.870)
Cl (0.692, 0.866, 0.354)
Cl (0.308, 0.646, 0.134)
Cl (0.692, 0.354, 0.866)
Cl (0.308, 0.134, 0.646)

Calculated values
As for the total magnetization: 0.333 μB per atom. Its uncorrected formation energy is -1775 meV per atom.